# MgSc2VN | Alexandria | PBE-GGA | optimized geometry
# magnetic moment = 0.326 μB/atom
# ΔE_f (raw) = -0.65 eV/atom
# space-group type = P4/mmm
data_MgSc2VN
_chemical_formula_sum 'Mg1 Sc2 V1 N1'
_space_group_name_H-M_alt 'P 1'
_space_group_IT_number 1
_cell_length_a 4.5910
_cell_length_b 4.5910
_cell_length_c 3.9471
_cell_angle_alpha 90.00
_cell_angle_beta 90.00
_cell_angle_gamma 90.00
loop_
_space_group_symop_operation_xyz
'x,y,z'
loop_
_atom_site_label
_atom_site_fract_x
_atom_site_fract_y
_atom_site_fract_z
Sc1 0.5000 0.0000 0.0000
Sc2 0.0000 0.5000 0.0000
Mg1 0.5000 0.5000 0.5000
V1 0.0000 0.0000 0.5000
N1 0.0000 0.0000 0.0000